Below is KCoBrF2 after structural relaxation, with properties calculated at the GGA+U level.

Crystal system: tetragonal
Offset from the most stable computed form in meV/atom: 86

abc: 4.255 4.255 5.208
angles: 90.00 90.00 90.00
Space group P4/mmm (No. 123)
Inequivalent atoms, fractional coordinates:
K 0.000 0.000 0.000
Co 0.500 0.500 0.500
Br 0.500 0.500 0.000
F 0.000 0.500 0.500